No. 1
# Mn2RuSe

A relaxed structure of Mn2RuSe (PBE-GGA, the Alexandria database).

Results
* E_form (uncorrected): 0.268 eV/atom
* space-group type: P4/mmm
* E: -7.51 eV per atom

Geometry as extended XYZ:
```
4
Lattice="4.193 0.000 0.000 0.000 4.193 0.000 0.000 0.000 3.320" Properties=species:S:1:pos:R:3 pbc="T T T"
Mn 0.000 2.096 0.000
Mn 2.096 0.000 0.000
Ru 0.000 0.000 1.660
Se 2.096 2.096 1.660
```

---

No. 2
# AlTlPb2

A relaxed structure of AlTlPb2 (PBE-GGA, the Alexandria database).

Results
* space-group type: P4mm
* E: -3.23 eV per atom

Geometry as extended XYZ:
```
4
Lattice="3.405 0.000 0.000 0.000 3.405 0.000 0.000 0.000 9.713" Properties=species:S:1:pos:R:3 pbc="T T T"
Al 0.000 0.000 0.000
Tl 1.703 1.703 7.543
Pb 0.000 0.000 4.843
Pb 1.703 1.703 2.153
```

---

No. 3
# Al2GaAu2

A relaxed structure of Al2GaAu2 (PBE-GGA, the Alexandria database).

Results
* space-group type: P4/mbm
* E: -3.63 eV per atom

Geometry as extended XYZ:
```
10
Lattice="8.082 0.000 0.000 0.000 8.082 0.000 0.000 0.000 2.773" Properties=species:S:1:pos:R:3 pbc="T T T"
Al 1.081 2.960 0.000
Al 2.960 7.001 0.000
Al 5.122 1.081 0.000
Al 7.001 5.122 0.000
Ga 0.000 0.000 1.387
Ga 4.041 4.041 1.387
Au 1.320 5.361 1.387
Au 2.721 1.320 1.387
Au 5.361 6.762 1.387
Au 6.762 2.721 1.387
```

---

No. 4
# FeSn6Pd

A relaxed structure of FeSn6Pd (PBE-GGA, the Alexandria database).

Results
* space-group type: C2/m
* E: -4.71 eV per atom

Geometry as extended XYZ:
```
16
Lattice="6.031 -4.807 0.000 6.031 4.807 0.000 -6.029 0.000 7.172" Properties=species:S:1:pos:R:3 pbc="T T T"
Fe 3.016 2.403 0.000
Fe 3.016 -2.403 0.000
Sn 0.970 3.307 5.947
Sn 5.064 3.307 1.225
Sn 2.223 1.605 2.294
Sn -2.031 0.000 7.061
Sn 0.068 0.000 4.809
Sn 3.811 1.605 4.878
Sn 2.223 -1.605 2.294
Sn 5.966 0.000 2.363
Sn 8.065 0.000 0.111
Sn 3.811 -1.605 4.878
Sn 0.970 -3.307 5.947
Sn 5.064 -3.307 1.225
Pd 0.001 2.403 3.586
Pd 0.001 -2.403 3.586
```

---

No. 5
# PmZn2GaNi4

A relaxed structure of PmZn2GaNi4 (PBE-GGA, the Alexandria database).

Results
* space-group type: R-3m
* E: -4.47 eV per atom

Geometry as extended XYZ:
```
8
Lattice="2.044 1.180 8.265 -2.044 1.180 8.265 0.000 -2.360 8.265" Properties=species:S:1:pos:R:3 pbc="T T T"
Pm 0.000 0.000 0.000
Zn 0.000 0.000 5.939
Zn 0.000 0.000 18.855
Ga 0.000 0.000 12.397
Ni 0.000 0.000 3.250
Ni 0.000 0.000 10.053
Ni 0.000 0.000 14.741
Ni 0.000 0.000 21.544
```

---

No. 6
# LiMnN3

A relaxed structure of LiMnN3 (PBE-GGA, the Alexandria database).

Results
* E_form (uncorrected): 0.683 eV/atom
* space-group type: Pm-3m
* E: -6.53 eV per atom

Geometry as extended XYZ:
```
5
Lattice="3.642 0.000 0.000 0.000 3.642 0.000 0.000 0.000 3.642" Properties=species:S:1:pos:R:3 pbc="T T T"
Li 0.000 0.000 0.000
Mn 1.821 1.821 1.821
N 0.000 1.821 1.821
N 1.821 0.000 1.821
N 1.821 1.821 0.000
```

---

No. 7
# TaGaBi

A relaxed structure of TaGaBi (PBE-GGA, the Alexandria database).

Results
* space-group type: Amm2
* E: -6.03 eV per atom

Geometry as extended XYZ:
```
6
Lattice="15.344 0.000 0.000 0.000 1.741 2.600 0.000 -1.741 2.600" Properties=species:S:1:pos:R:3 pbc="T T T"
Ta 2.076 0.000 0.000
Ta 13.268 0.000 0.000
Ga 0.000 0.000 1.919
Ga 7.672 0.000 2.356
Bi 4.447 0.000 1.894
Bi 10.897 0.000 1.894
```

---

No. 8
# La4Nd9Zn11

A relaxed structure of La4Nd9Zn11 (PBE-GGA, the Alexandria database).

Results
* space-group type: Cmmm
* E: -3.42 eV per atom

Geometry as extended XYZ:
```
24
Lattice="7.804 -11.084 0.000 7.804 11.084 0.000 0.000 0.000 3.609" Properties=species:S:1:pos:R:3 pbc="T T T"
La 2.483 1.965 0.000
La 2.483 -1.965 0.000
La 13.125 1.965 0.000
La 13.125 -1.965 0.000
Nd 0.000 0.000 0.000
Nd 5.970 5.829 0.000
Nd 6.019 2.017 0.000
Nd 9.638 5.829 0.000
Nd 6.019 -2.017 0.000
Nd 9.590 2.017 0.000
Nd 5.970 -5.829 0.000
Nd 9.590 -2.017 0.000
Nd 9.638 -5.829 0.000
Zn 4.184 4.010 1.804
Zn 7.804 8.016 1.804
Zn 4.374 0.000 1.804
Zn 7.804 3.896 1.804
Zn 4.184 -4.010 1.804
Zn 7.804 0.000 1.804
Zn 11.424 4.010 1.804
Zn 7.804 -3.896 1.804
Zn 11.234 0.000 1.804
Zn 7.804 -8.016 1.804
Zn 11.424 -4.010 1.804
```